Entry 1:
# SrCa3Zn SCAN single point on PBEsol structure
# DFT formation energy = -0.05 eV per atom
data_SrCa3Zn
_chemical_formula_sum 'Sr1 Ca3 Zn1'
_symmetry_space_group_name_H-M 'P 1'
_symmetry_Int_Tables_number 1
_cell_length_a 5.815
_cell_length_b 5.815
_cell_length_c 5.815
_cell_angle_alpha 90.00
_cell_angle_beta 90.00
_cell_angle_gamma 90.00
loop_
_symmetry_equiv_pos_as_xyz
'x,y,z'
loop_
_atom_site_label
_atom_site_fract_x
_atom_site_fract_y
_atom_site_fract_z
_atom_site_occupancy
Sr1 0.000 0.000 0.000 1
Ca1 0.000 0.500 0.500 1
Ca2 0.500 0.000 0.500 1
Ca3 0.500 0.500 0.000 1
Zn1 0.500 0.500 0.500 1

=====

Entry 2:
# CsSbTe2Ru

A crystal of CsSbTe2Ru relaxed with PBEsol (SCAN, Alexandria via LeMat-Bulk).

Structure (CIF):
```
data_CsSbTe2Ru
_chemical_formula_sum 'Cs1 Sb1 Te2 Ru1'
_symmetry_space_group_name_H-M 'P 1'
_symmetry_Int_Tables_number 1
_cell_length_a 5.976
_cell_length_b 5.976
_cell_length_c 5.988
_cell_angle_alpha 90.00
_cell_angle_beta 90.00
_cell_angle_gamma 90.00
loop_
_symmetry_equiv_pos_as_xyz
'x,y,z'
loop_
_atom_site_label
_atom_site_fract_x
_atom_site_fract_y
_atom_site_fract_z
_atom_site_occupancy
Cs1 0.000 0.000 0.000 1
Sb1 0.000 0.000 0.500 1
Te1 0.000 0.500 0.000 1
Te2 0.500 0.000 0.000 1
Ru1 0.500 0.500 0.500 1
```

=====

Entry 3:
# ZrSc2Al SCAN single point on PBEsol structure
# DFT formation energy = -0.24 eV per atom
data_ZrSc2Al
_chemical_formula_sum 'Zr1 Sc2 Al1'
_symmetry_space_group_name_H-M 'P 1'
_symmetry_Int_Tables_number 1
_cell_length_a 3.211
_cell_length_b 3.211
_cell_length_c 8.088
_cell_angle_alpha 90.00
_cell_angle_beta 90.00
_cell_angle_gamma 90.00
loop_
_symmetry_equiv_pos_as_xyz
'x,y,z'
loop_
_atom_site_label
_atom_site_fract_x
_atom_site_fract_y
_atom_site_fract_z
_atom_site_occupancy
Zr1 0.000 0.000 0.000 1
Sc1 0.500 0.500 0.269 1
Sc2 0.500 0.500 0.731 1
Al1 0.000 0.000 0.500 1

=====

no.,uncorrected energy (Ry/atom)
1,-0.956
2,-2.555
3,-1.248